CaLuTl, relaxed, DFT GGA-PBE; mass density = 6968 kg/m3; symmetry = F-43m, No. 216; M_tot = 0.0 μB/f.u.; ΔH_f (0 K) = -0.31 eV/f.u.
1.0
5.209 0.000 0.000
2.605 4.511 0.000
2.605 1.504 4.253
Tl Lu Ca
1 1 1
Direct
0.250 0.250 0.250
0.500 0.500 0.500
0.000 0.000 0.000


CaLuTl2, relaxed, DFT GGA-PBE; mass density = 9410 kg/m3; symmetry = P4/mmm, No. 123; M_tot = 0.0 μB/f.u.; ΔH_f (0 K) = -1.45 eV/f.u.
1.0
-2.119 -3.066 -0.682
0.119 -0.901 3.678
-6.352 4.121 1.215
Tl Lu Ca
2 1 1
Direct
0.000 0.000 0.761
0.000 0.000 0.239
0.500 0.500 0.000
0.500 0.500 0.500


CaTmLu, relaxed, DFT GGA-PBE; mass density = 6457 kg/m3; symmetry = I4mm, No. 107; M_tot = 0.0 μB/f.u.; ΔH_f (0 K) = 0.29 eV/f.u.
1.0
3.585 0.000 0.000
0.000 3.585 0.000
-1.793 -1.793 7.683
Ca Lu Tm
1 1 1
Direct
0.000 0.000 0.001
0.677 0.677 0.355
0.322 0.322 0.644